Entry 1:
A plane-wave DFT calculation with GGA-PBEsol was carried out for a relaxed structure of KTl2Ni.

## Properties
E_form	206	meV/atom
final energy	-2.932	eV per atom
symmetry	Immm (71)

Unit cell a=6.357 b=6.357 c=6.357 alpha=150.67 beta=125.42 gamma=63.16
Atoms (fractional coordinates):
K: 0.000 0.000 0.000
Tl: 0.307 0.807 0.500
Tl: 0.693 0.193 0.500
Ni: 0.500 0.500 0.000

=====

Entry 2:
A plane-wave DFT calculation with GGA-PBEsol was carried out for a relaxed structure of KTlNi2.

## Properties
E_form	712	meV/atom
final energy	-3.308	eV per atom
symmetry	Immm (71)
energy above the lowest structure with this stoichiometry	155	meV/atom

Unit cell a=4.779 b=4.779 c=4.779 alpha=122.26 beta=113.64 gamma=93.74
Atoms (fractional coordinates):
K: 0.000 0.000 0.000
Tl: 0.500 0.500 0.000
Ni: 0.312 0.812 0.500
Ni: 0.688 0.188 0.500

=====

Entry 3:
A plane-wave DFT calculation with GGA-PBEsol was carried out for a relaxed structure of KTlNi2.

## Properties
E_form	789	meV/atom
final energy	-3.230	eV per atom
symmetry	I-4m2 (119)
energy above the lowest structure with this stoichiometry	232	meV/atom

Unit cell a=5.342 b=5.342 c=5.342 alpha=136.43 beta=136.43 gamma=63.31
Atoms (fractional coordinates):
K: 0.000 0.000 0.000
Tl: 0.250 0.750 0.500
Ni: 0.500 0.500 0.000
Ni: 0.750 0.250 0.500

=====

Entry 4:
A plane-wave DFT calculation with GGA-PBEsol was carried out for a relaxed structure of KTlNi2.

## Properties
E_form	557	meV/atom
final energy	-3.463	eV per atom
symmetry	Imm2 (44)
energy above the lowest structure with this stoichiometry	0	meV/atom

Unit cell a=5.962 b=5.962 c=5.962 alpha=152.48 beta=129.88 gamma=58.12
Atoms (fractional coordinates):
K: 0.000 0.000 0.000
Tl: 0.297 0.797 0.500
Ni: 0.524 0.524 0.000
Ni: 0.706 0.206 0.500

=====

Entry 5:
A plane-wave DFT calculation with GGA-PBEsol was carried out for a relaxed structure of KTl3Ni.

## Properties
E_form	9	meV/atom
final energy	-3.027	eV per atom
symmetry	Pm-3m (221)

Unit cell a=5.124 b=5.124 c=5.124 alpha=90.00 beta=90.00 gamma=90.00
Atoms (fractional coordinates):
K: 0.000 0.000 0.000
Tl: 0.000 0.500 0.500
Tl: 0.500 0.000 0.500
Tl: 0.500 0.500 0.000
Ni: 0.500 0.500 0.500

=====

Entry 6:
A plane-wave DFT calculation with GGA-PBEsol was carried out for a relaxed structure of KNi2W.

## Properties
E_form	770	meV/atom
final energy	-6.044	eV per atom
symmetry	P4mm (99)
energy above the lowest structure with this stoichiometry	0	meV/atom

Unit cell a=2.664 b=2.664 c=9.043 alpha=90.00 beta=90.00 gamma=90.00
Atoms (fractional coordinates):
K: 0.000 0.000 0.000
Ni: 0.000 0.000 0.448
Ni: 0.500 0.500 0.279
W: 0.500 0.500 0.644

=====

Entry 7:
A plane-wave DFT calculation with GGA-PBEsol was carried out for a relaxed structure of KNi2W.

## Properties
E_form	1407	meV/atom
final energy	-5.407	eV per atom
symmetry	Fm-3m (225)
energy above the lowest structure with this stoichiometry	637	meV/atom

Unit cell a=4.434 b=4.434 c=4.434 alpha=60.00 beta=60.00 gamma=60.00
Atoms (fractional coordinates):
K: 0.000 0.000 0.000
Ni: 0.250 0.250 0.250
Ni: 0.750 0.750 0.750
W: 0.500 0.500 0.500

=====

Entry 8:
A plane-wave DFT calculation with GGA-PBEsol was carried out for a relaxed structure of KNi2W.

## Properties
E_form	1541	meV/atom
final energy	-5.273	eV per atom
symmetry	Pmmm (47)
energy above the lowest structure with this stoichiometry	771	meV/atom

Unit cell a=2.616 b=4.547 c=5.364 alpha=90.00 beta=90.00 gamma=90.00
Atoms (fractional coordinates):
K: 0.000 0.000 0.000
Ni: 0.000 0.500 0.500
Ni: 0.500 0.500 0.000
W: 0.500 0.000 0.500

=====

Entry 9:
A plane-wave DFT calculation with GGA-PBEsol was carried out for a relaxed structure of KNi2W.

## Properties
E_form	811	meV/atom
final energy	-6.003	eV per atom
symmetry	Pm (6)
energy above the lowest structure with this stoichiometry	41	meV/atom

Unit cell a=2.617 b=4.095 c=6.926 alpha=90.00 beta=93.60 gamma=90.00
Atoms (fractional coordinates):
K: 0.000 0.000 0.000
Ni: 0.534 0.500 0.306
Ni: 0.553 0.000 0.495
W: 0.077 0.500 0.603

=====

Entry 10:
A plane-wave DFT calculation with GGA-PBEsol was carried out for a relaxed structure of KY2Ni.

## Properties
E_form	142	meV/atom
final energy	-5.091	eV per atom
symmetry	P4mm (99)
energy above the lowest structure with this stoichiometry	0	meV/atom

Unit cell a=3.765 b=3.765 c=9.159 alpha=90.00 beta=90.00 gamma=90.00
Atoms (fractional coordinates):
K: 0.000 0.000 0.000
Y: 0.000 0.000 0.386
Y: 0.500 0.500 0.636
Ni: 0.500 0.500 0.346

=====

Entry 11:
A plane-wave DFT calculation with GGA-PBEsol was carried out for a relaxed structure of KY2Ni.

## Properties
E_form	633	meV/atom
final energy	-4.601	eV per atom
symmetry	Pmmm (47)
energy above the lowest structure with this stoichiometry	491	meV/atom

Unit cell a=4.221 b=4.402 c=5.368 alpha=90.00 beta=90.00 gamma=90.00
Atoms (fractional coordinates):
K: 0.000 0.000 0.000
Y: 0.500 0.000 0.500
Y: 0.500 0.500 0.000
Ni: 0.000 0.500 0.500

=====

Entry 12:
A plane-wave DFT calculation with GGA-PBEsol was carried out for a relaxed structure of KZnNi.

## Properties
E_form	404	meV/atom
final energy	-2.554	eV per atom
symmetry	P-6m2 (187)

Unit cell a=4.040 b=4.040 c=5.011 alpha=90.00 beta=90.00 gamma=120.00
Atoms (fractional coordinates):
K: 0.000 0.000 0.000
Zn: 0.667 0.333 0.500
Ni: 0.333 0.667 0.500

=====

no.,magnetic moment (μB/cell)
1,0.00
2,0.00
3,0.00
4,0.38
5,0.00
6,0.26
7,0.00
8,1.11
9,0.00
10,0.00
11,0.00
12,0.00